TaNi2Pt2: relaxed, PBE-GGA.

Results
DOS at the Fermi energy = 4.64 states/eV/f.u.
Electronic total energy = -7.501 eV per atom
ΔH_f (0 K) = -0.401 eV/atom
SG = C2/m, No. 12

Structure (POSCAR):
```
TaNi2Pt2
1.0
4.762 -2.172 0.000
4.762 2.172 0.000
-2.395 0.000 6.849
Ta Ni Pt
2 4 4
direct
0.237 0.237 0.280 Ta
0.763 0.763 0.720 Ta
0.039 0.039 0.856 Ni
0.132 0.132 0.583 Ni
0.868 0.868 0.417 Ni
0.961 0.961 0.144 Ni
0.333 0.333 0.964 Pt
0.437 0.437 0.647 Pt
0.563 0.563 0.353 Pt
0.667 0.667 0.036 Pt
```

***

Ta2Ni7Pt: relaxed, PBE-GGA.

Results
DOS at the Fermi energy = 11.27 states/eV/f.u.
Electronic total energy = -6.626 eV per atom
ΔH_f (0 K) = 0.395 eV/atom
SG = Cmmm, No. 65

Structure (POSCAR):
```
Ta2Ni7Pt
1.0
3.100 -6.961 0.000
3.100 6.961 0.000
0.000 0.000 3.537
Ta Ni Pt
2 7 1
direct
0.203 0.797 0.000 Ta
0.797 0.203 0.000 Ta
0.000 0.000 0.000 Ni
0.205 0.405 0.000 Ni
0.319 0.681 0.500 Ni
0.405 0.205 0.000 Ni
0.595 0.795 0.000 Ni
0.681 0.319 0.500 Ni
0.795 0.595 0.000 Ni
0.500 0.500 0.500 Pt
```

***

TaNiPt: relaxed, PBE-GGA.

Results
DOS at the Fermi energy = 3.10 states/eV/f.u.
Electronic total energy = -8.056 eV per atom
ΔH_f (0 K) = -0.165 eV/atom
SG = P3m1, No. 156

Structure (POSCAR):
```
TaNiPt
1.0
2.850 0.000 0.000
-1.425 2.468 0.000
0.000 0.000 6.491
Ta Ni Pt
1 1 1
direct
0.000 0.000 0.000 Ta
0.667 0.333 0.319 Ni
0.333 0.667 0.652 Pt
```

***

TaNi4Pt7: relaxed, PBE-GGA.

Results
DOS at the Fermi energy = 18.00 states/eV/f.u.
Electronic total energy = -6.689 eV per atom
ΔH_f (0 K) = -0.250 eV/atom
SG = P-1, No. 2

Structure (POSCAR):
```
TaNi4Pt7
1.0
4.787 0.000 0.000
0.072 5.460 0.000
2.321 1.432 6.627
Ta Ni Pt
1 4 7
direct
0.000 0.000 0.000 Ta
0.168 0.417 0.336 Ni
0.340 0.832 0.668 Ni
0.660 0.168 0.332 Ni
0.832 0.583 0.664 Ni
0.000 0.500 0.000 Pt
0.165 0.918 0.341 Pt
0.323 0.332 0.662 Pt
0.495 0.748 0.999 Pt
0.505 0.252 0.001 Pt
0.677 0.668 0.338 Pt
0.835 0.082 0.659 Pt
```

***

TaNi3Pt3: relaxed, PBE-GGA.

Results
DOS at the Fermi energy = 9.12 states/eV/f.u.
Electronic total energy = -6.949 eV per atom
ΔH_f (0 K) = -0.189 eV/atom
SG = Cmmm, No. 65

Structure (POSCAR):
```
TaNi3Pt3
1.0
3.679 -3.928 0.000
3.679 3.928 0.000
0.000 0.000 7.266
Ta Ni Pt
2 6 6
direct
0.229 0.229 0.000 Ta
0.771 0.771 0.000 Ta
0.204 0.204 0.500 Ni
0.249 0.751 0.000 Ni
0.252 0.748 0.500 Ni
0.748 0.252 0.500 Ni
0.751 0.249 0.000 Ni
0.796 0.796 0.500 Ni
0.000 0.500 0.255 Pt
0.000 0.500 0.745 Pt
0.500 0.000 0.255 Pt
0.500 0.000 0.745 Pt
0.500 0.500 0.255 Pt
0.500 0.500 0.745 Pt
```

***

TaNi2Pt: relaxed, PBE-GGA.

Results
DOS at the Fermi energy = 6.49 states/eV/f.u.
Electronic total energy = -7.590 eV per atom
ΔH_f (0 K) = -0.225 eV/atom
SG = P4mm, No. 99

Structure (POSCAR):
```
TaNi2Pt
1.0
2.813 0.000 0.000
0.000 2.813 0.000
0.000 0.000 6.997
Ta Ni Pt
1 2 1
direct
0.000 0.000 0.000 Ta
0.000 0.000 0.457 Ni
0.500 0.500 0.248 Ni
0.500 0.500 0.711 Pt
```

***

TaNi2Pt: relaxed, PBE-GGA.

Results
DOS at the Fermi energy = 2.73 states/eV/f.u.
Electronic total energy = -7.696 eV per atom
ΔH_f (0 K) = -0.332 eV/atom
SG = Pmmm, No. 47

Structure (POSCAR):
```
TaNi2Pt
1.0
2.808 0.000 0.000
0.000 3.635 0.000
0.000 0.000 5.410
Ta Ni Pt
1 2 1
direct
0.000 0.000 0.000 Ta
0.500 0.500 0.246 Ni
0.500 0.500 0.754 Ni
0.000 0.000 0.500 Pt
```

***

Ta2NiPt2: relaxed, PBE-GGA.

Results
DOS at the Fermi energy = 5.00 states/eV/f.u.
Electronic total energy = -8.582 eV per atom
ΔH_f (0 K) = -0.268 eV/atom
SG = P4/mbm, No. 127

Structure (POSCAR):
```
Ta2NiPt2
1.0
7.097 0.000 0.000
0.000 7.097 0.000
0.000 0.000 3.357
Ta Ni Pt
4 2 4
direct
0.172 0.328 0.000 Ta
0.328 0.828 0.000 Ta
0.672 0.172 0.000 Ta
0.828 0.672 0.000 Ta
0.000 0.000 0.500 Ni
0.500 0.500 0.500 Ni
0.134 0.634 0.500 Pt
0.366 0.134 0.500 Pt
0.634 0.866 0.500 Pt
0.866 0.366 0.500 Pt
```

***

TaNi5Pt5: relaxed, PBE-GGA.

Results
DOS at the Fermi energy = 14.66 states/eV/f.u.
Electronic total energy = -6.616 eV per atom
ΔH_f (0 K) = -0.165 eV/atom
SG = P2/m, No. 10

Structure (POSCAR):
```
TaNi5Pt5
1.0
5.340 0.000 0.000
0.000 3.821 0.000
-1.792 0.000 7.754
Ta Ni Pt
1 5 5
direct
0.000 0.000 0.000 Ta
0.191 0.500 0.821 Ni
0.382 0.000 0.663 Ni
0.500 0.500 0.500 Ni
0.618 0.000 0.337 Ni
0.809 0.500 0.179 Ni
0.108 0.000 0.360 Pt
0.305 0.500 0.176 Pt
0.500 0.000 0.000 Pt
0.695 0.500 0.824 Pt
0.892 0.000 0.640 Pt
```

***

TaNi4Pt2: relaxed, PBE-GGA.

Results
DOS at the Fermi energy = 8.61 states/eV/f.u.
Electronic total energy = -6.835 eV per atom
ΔH_f (0 K) = -0.112 eV/atom
SG = P4_2/mnm, No. 136

Structure (POSCAR):
```
TaNi4Pt2
1.0
6.714 0.000 0.000
0.000 6.714 0.000
0.000 0.000 4.318
Ta Ni Pt
2 8 4
direct
0.000 0.000 0.000 Ta
0.500 0.500 0.500 Ta
0.099 0.362 0.000 Ni
0.138 0.599 0.500 Ni
0.362 0.099 0.000 Ni
0.401 0.862 0.500 Ni
0.599 0.138 0.500 Ni
0.638 0.901 0.000 Ni
0.862 0.401 0.500 Ni
0.901 0.638 0.000 Ni
0.187 0.187 0.500 Pt
0.313 0.687 0.000 Pt
0.687 0.313 0.000 Pt
0.813 0.813 0.500 Pt
```

***

TaNi6Pt: relaxed, PBE-GGA.

Results
DOS at the Fermi energy = 9.95 states/eV/f.u.
Electronic total energy = -6.773 eV per atom
ΔH_f (0 K) = -0.200 eV/atom
SG = Cmmm, No. 65

Structure (POSCAR):
```
TaNi6Pt
1.0
3.648 -5.187 0.000
3.648 5.187 0.000
0.000 0.000 10.388
Ta Ni Pt
4 24 4
direct
0.000 0.000 0.247 Ta
0.000 0.000 0.753 Ta
0.247 0.753 0.500 Ta
0.753 0.247 0.500 Ta
0.000 0.000 0.000 Ni
0.000 0.000 0.500 Ni
0.125 0.374 0.127 Ni
0.125 0.374 0.873 Ni
0.125 0.375 0.376 Ni
0.125 0.375 0.624 Ni
0.248 0.752 0.254 Ni
0.248 0.752 0.746 Ni
0.374 0.125 0.127 Ni
0.374 0.125 0.873 Ni
0.375 0.125 0.376 Ni
0.375 0.125 0.624 Ni
0.500 0.500 0.000 Ni
0.500 0.500 0.500 Ni
0.625 0.875 0.376 Ni
0.625 0.875 0.624 Ni
0.626 0.875 0.127 Ni
0.626 0.875 0.873 Ni
0.752 0.248 0.254 Ni
0.752 0.248 0.746 Ni
0.875 0.625 0.376 Ni
0.875 0.625 0.624 Ni
0.875 0.626 0.127 Ni
0.875 0.626 0.873 Ni
0.245 0.755 0.000 Pt
0.500 0.500 0.246 Pt
0.500 0.500 0.754 Pt
0.755 0.245 0.000 Pt
```

***

TaNi4Pt: relaxed, PBE-GGA.

Results
DOS at the Fermi energy = 6.70 states/eV/f.u.
Electronic total energy = -7.223 eV per atom
ΔH_f (0 K) = -0.387 eV/atom
SG = F-43m, No. 216

Structure (POSCAR):
```
TaNi4Pt
1.0
0.000 3.344 3.344
3.344 0.000 3.344
3.344 3.344 0.000
Ta Ni Pt
1 4 1
direct
0.000 0.000 0.000 Ta
0.125 0.625 0.625 Ni
0.625 0.125 0.625 Ni
0.625 0.625 0.125 Ni
0.625 0.625 0.625 Ni
0.250 0.250 0.250 Pt
```

***

TaNi3Pt6: relaxed, PBE-GGA.

Results
DOS at the Fermi energy = 12.65 states/eV/f.u.
Electronic total energy = -6.609 eV per atom
ΔH_f (0 K) = -0.065 eV/atom
SG = R-3, No. 148

Structure (POSCAR):
```
TaNi3Pt6
1.0
5.424 3.131 3.039
-5.424 3.131 3.039
0.000 -6.263 3.039
Ta Ni Pt
2 6 12
direct
0.000 0.000 0.000 Ta
0.500 0.500 0.500 Ta
0.080 0.343 0.248 Ni
0.248 0.080 0.343 Ni
0.343 0.248 0.080 Ni
0.657 0.752 0.920 Ni
0.752 0.920 0.657 Ni
0.920 0.657 0.752 Ni
0.033 0.676 0.145 Pt
0.145 0.033 0.676 Pt
0.184 0.656 0.536 Pt
0.324 0.855 0.967 Pt
0.344 0.464 0.816 Pt
0.464 0.816 0.344 Pt
0.536 0.184 0.656 Pt
0.656 0.536 0.184 Pt
0.676 0.145 0.033 Pt
0.816 0.344 0.464 Pt
0.855 0.967 0.324 Pt
0.967 0.324 0.855 Pt
```

***

TaNiPt: relaxed, PBE-GGA.

Results
DOS at the Fermi energy = 1.26 states/eV/f.u.
Electronic total energy = -8.465 eV per atom
ΔH_f (0 K) = -0.573 eV/atom
SG = I4mm, No. 107

Structure (POSCAR):
```
TaNiPt
1.0
3.297 0.000 0.000
0.000 3.297 0.000
0.000 0.000 8.262
Ta Ni Pt
2 2 2
direct
0.000 0.000 0.000 Ta
0.500 0.500 0.500 Ta
0.000 0.000 0.656 Ni
0.500 0.500 0.156 Ni
0.000 0.000 0.330 Pt
0.500 0.500 0.830 Pt
```

***

TaNi4Pt3: relaxed, PBE-GGA.

Results
DOS at the Fermi energy = 13.38 states/eV/f.u.
Electronic total energy = -6.836 eV per atom
ΔH_f (0 K) = -0.198 eV/atom
SG = C2/m, No. 12

Structure (POSCAR):
```
TaNi4Pt3
1.0
17.212 0.000 0.000
0.000 2.753 0.000
-0.346 0.000 4.666
Ta Ni Pt
2 8 6
direct
0.000 0.000 0.000 Ta
0.500 0.500 0.000 Ta
0.129 0.000 0.378 Ni
0.246 0.500 0.273 Ni
0.254 0.000 0.727 Ni
0.371 0.500 0.622 Ni
0.629 0.500 0.378 Ni
0.746 0.000 0.273 Ni
0.754 0.500 0.727 Ni
0.871 0.000 0.622 Ni
0.000 0.500 0.500 Pt
0.133 0.500 0.886 Pt
0.367 0.000 0.114 Pt
0.500 0.000 0.500 Pt
0.633 0.000 0.886 Pt
0.867 0.500 0.114 Pt
```

***

TaNi2Pt: relaxed, PBE-GGA.

Results
DOS at the Fermi energy = 2.10 states/eV/f.u.
Electronic total energy = -7.879 eV per atom
ΔH_f (0 K) = -0.515 eV/atom
SG = Cmcm, No. 63

Structure (POSCAR):
```
TaNi2Pt
1.0
5.415 0.000 0.000
0.000 9.092 0.000
0.000 0.000 4.432
Ta Ni Pt
4 8 4
direct
0.000 0.163 0.250 Ta
0.000 0.837 0.750 Ta
0.500 0.337 0.750 Ta
0.500 0.663 0.250 Ta
0.244 0.080 0.750 Ni
0.244 0.920 0.250 Ni
0.256 0.420 0.250 Ni
0.256 0.580 0.750 Ni
0.744 0.420 0.250 Ni
0.744 0.580 0.750 Ni
0.756 0.080 0.750 Ni
0.756 0.920 0.250 Ni
0.000 0.337 0.750 Pt
0.000 0.663 0.250 Pt
0.500 0.163 0.250 Pt
0.500 0.837 0.750 Pt
```

***

TaNi2Pt2: relaxed, PBE-GGA.

Results
DOS at the Fermi energy = 4.95 states/eV/f.u.
Electronic total energy = -7.556 eV per atom
ΔH_f (0 K) = -0.456 eV/atom
SG = C2/c, No. 15

Structure (POSCAR):
```
TaNi2Pt2
1.0
4.673 -2.320 0.000
4.673 2.320 0.000
-2.464 0.000 6.526
Ta Ni Pt
2 4 4
direct
0.181 0.819 0.750 Ta
0.819 0.181 0.250 Ta
0.239 0.564 0.053 Ni
0.436 0.761 0.447 Ni
0.564 0.239 0.553 Ni
0.761 0.436 0.947 Ni
0.017 0.362 0.648 Pt
0.362 0.017 0.148 Pt
0.638 0.983 0.852 Pt
0.983 0.638 0.352 Pt
```

***

Ta2Ni4Pt: relaxed, PBE-GGA.

Results
DOS at the Fermi energy = 9.97 states/eV/f.u.
Electronic total energy = -6.597 eV per atom
ΔH_f (0 K) = 0.956 eV/atom
SG = I4/mmm, No. 139

Structure (POSCAR):
```
Ta2Ni4Pt
1.0
4.558 0.000 0.000
0.000 4.558 0.000
0.000 0.000 12.157
Ta Ni Pt
4 8 2
direct
0.000 0.000 0.109 Ta
0.000 0.000 0.891 Ta
0.500 0.500 0.391 Ta
0.500 0.500 0.609 Ta
0.000 0.000 0.298 Ni
0.000 0.000 0.702 Ni
0.000 0.500 0.000 Ni
0.000 0.500 0.500 Ni
0.500 0.000 0.000 Ni
0.500 0.000 0.500 Ni
0.500 0.500 0.202 Ni
0.500 0.500 0.798 Ni
0.000 0.000 0.500 Pt
0.500 0.500 0.000 Pt
```

***

TaNi2Pt: relaxed, PBE-GGA.

Results
DOS at the Fermi energy = 2.11 states/eV/f.u.
Electronic total energy = -7.894 eV per atom
ΔH_f (0 K) = -0.530 eV/atom
SG = I-4m2, No. 119

Structure (POSCAR):
```
TaNi2Pt
1.0
3.746 0.000 0.000
0.000 3.746 0.000
0.000 0.000 7.796
Ta Ni Pt
2 4 2
direct
0.000 0.000 0.000 Ta
0.500 0.500 0.500 Ta
0.000 0.000 0.500 Ni
0.000 0.500 0.250 Ni
0.500 0.000 0.750 Ni
0.500 0.500 0.000 Ni
0.000 0.500 0.750 Pt
0.500 0.000 0.250 Pt
```

***

TaNiPt: relaxed, PBE-GGA.

Results
DOS at the Fermi energy = 1.05 states/eV/f.u.
Electronic total energy = -8.466 eV per atom
ΔH_f (0 K) = -0.575 eV/atom
SG = Ama2, No. 40

Structure (POSCAR):
```
TaNiPt
1.0
4.648 0.000 0.000
0.000 4.686 0.000
0.000 0.000 8.235
Ta Ni Pt
4 4 4
direct
0.250 0.234 0.000 Ta
0.250 0.734 0.500 Ta
0.750 0.266 0.500 Ta
0.750 0.766 0.000 Ta
0.250 0.222 0.343 Ni
0.250 0.722 0.843 Ni
0.750 0.278 0.843 Ni
0.750 0.778 0.343 Ni
0.250 0.222 0.670 Pt
0.250 0.722 0.170 Pt
0.750 0.278 0.170 Pt
0.750 0.778 0.670 Pt
```